(1)
The following is a DFT calculation (PBE) of an optimized crystal structure of AcLa7Pr4.

It has space group P-1 (No. 2), with a = 6.556 Å, b = 7.562 Å, c = 9.313 Å, α = 90.03°, β = 103.52° and γ = 90.00°. The distinct sites, in fractional coordinates, are Ac at (0.000, 0.000, 0.000), La at (0.000, 0.500, 0.000), La at (0.226, 0.999, 0.665), La at (0.281, 0.255, 0.333), La at (0.499, 0.252, 0.999), Pr at (0.221, 0.500, 0.670) and Pr at (0.277, 0.746, 0.331).

For the size of the total moment, the calculation gives 0.00 μB/f.u. The total energy is -4.801 eV per atom. The energy of formation from the pure elements is 0.009 eV/atom.

=====

(2)
The following is a DFT calculation (PBE) of an optimized crystal structure of TaMoOs.

It has space group Cm (No. 8), with a = 9.543 Å, b = 4.479 Å, c = 5.489 Å, α = 90.00°, β = 124.64° and γ = 90.00°. The distinct sites, in fractional coordinates, are Ta at (0.000, 0.000, 0.000), Ta at (0.157, 0.500, 0.502), Mo at (0.159, 0.500, 0.995), Mo at (0.321, 0.000, 0.493), Os at (0.339, 0.000, 0.009) and Os at (0.487, 0.500, 0.490).

For the size of the total moment, the calculation gives 0.00 μB/f.u. The total energy is -11.364 eV per atom. The energy of formation from the pure elements is -0.060 eV/atom.

=====

(3)
The following is a DFT calculation (PBE) of an optimized crystal structure of BeBiPt3.

It has space group P2_1/m (No. 11), with a = 3.971 Å, b = 3.981 Å, c = 10.542 Å, α = 90.00°, β = 90.07° and γ = 90.00°. The distinct sites, in fractional coordinates, are Be at (0.249, 0.250, 0.497), Bi at (0.251, 0.250, 0.110), Pt at (0.249, 0.250, 0.828), Pt at (0.249, 0.750, 0.365) and Pt at (0.251, 0.750, 0.635).

For the size of the total moment, the calculation gives 0.00 μB/f.u. The total energy is -5.578 eV per atom. The energy of formation from the pure elements is -0.432 eV/atom.

=====

(4)
The following is a DFT calculation (PBE) of an optimized crystal structure of Ti2BeNiH.

It has space group P4/mmm (No. 123), with a = 3.995 Å, b = 3.995 Å, c = 3.397 Å, α = 90.00°, β = 90.00° and γ = 90.00°. The distinct sites, in fractional coordinates, are Ti at (0.000, 0.500, 0.000), Be at (0.000, 0.000, 0.500), Ni at (0.500, 0.500, 0.500) and H at (0.000, 0.000, 0.000).

For the size of the total moment, the calculation gives 0.00 μB/f.u. The total energy is -5.947 eV per atom.

=====

Q: What is the size of the total moment in the third record?
A: 0.00 μB/f.u.

=====

Q: size of the total moment of number 2 (TaMoOs)?
A: 0.00 μB/f.u.